Here is a relaxed structure of ZrPSe2 from the Alexandria database. Energies are from GGA-PBE.

Unit cell a=3.992 b=3.992 c=9.574 alpha=90.00 beta=90.00 gamma=90.00
Space group I4/mmm (No. 139)
Asymmetric unit:
Zr  0.000  0.000  0.000 (multiplicity 2)
P  0.000  0.000  0.500 (multiplicity 2)
Se  0.000  0.500  0.250 (multiplicity 4)

Values from the calculation:
For the density of states at the Fermi level, the calculation gives 0.67 states/eV per atom. The total energy comes out at -5.4463 eV/atom.

---

Here is a relaxed structure of ZrPSe2 from the Alexandria database. Energies are from GGA-PBE.

Unit cell a=3.4862 b=3.4862 c=24.2092 alpha=90.00 beta=90.00 gamma=120.00
Space group R-3m (No. 166, hexagonal axes)
Asymmetric unit:
Zr  0.0000  0.0000  0.0000 (multiplicity 3)
P  0.0000  0.0000  0.5000 (multiplicity 3)
Se  0.0000  0.0000  0.2580 (multiplicity 6)

Values from the calculation:
For the density of states at the Fermi level, the calculation gives 0.80 states/eV per atom. The total energy comes out at -5.4799 eV/atom.

---

Here is a relaxed structure of ZrPSe2 from the Alexandria database. Energies are from GGA-PBE.

Unit cell a=5.149 b=3.857 c=5.363 alpha=90.00 beta=107.54 gamma=90.00
Space group Pm (No. 6)
Asymmetric unit:
Zr  0.000  0.000  0.000 (multiplicity 1)
P  0.929  0.500  0.644 (multiplicity 1)
Se  0.207  0.500  0.391 (multiplicity 1)
Se  0.519  0.000  0.013 (multiplicity 1)

Values from the calculation:
For the density of states at the Fermi level, the calculation gives 0.58 states/eV per atom. The total energy comes out at -5.7542 eV/atom.

---

Magnetic moment for every record listed, in sequence, given in μB per cell: 0.00; 0.00; 0.00.